Entry 1:
AcHfSn | PBE | relaxed

Results
Its energy is -5.1542 eV per atom. The value obtained for the total magnetic moment is 1.140 μB/f.u.

abc: 5.360 5.360 5.360
angles: 60.00 60.00 60.00
Element x y z (fractional)
1 Ac 0.000 0.000 0.000
2 Hf 0.750 0.750 0.750
3 Sn 0.250 0.250 0.250

Entry 2:
AcHfSn | PBE | relaxed

Results
Its energy is -5.8611 eV per atom. The value obtained for the total magnetic moment is 0.012 μB/f.u.

abc: 5.193 5.193 5.193
angles: 60.00 60.00 60.00
Element x y z (fractional)
1 Ac 0.000 0.000 0.000
2 Hf 0.500 0.500 0.500
3 Sn 0.250 0.250 0.250

Entry 3:
AcHfTa | PBE | relaxed

Results
Its energy is -7.6882 eV per atom. The value obtained for the total magnetic moment is 0.001 μB/f.u. The calculation puts the energy of formation from the pure elements at 2.85 eV/f.u.

abc: 4.947 4.947 4.947
angles: 60.00 60.00 60.00
Element x y z (fractional)
1 Ac 0.000 0.000 0.000
2 Hf 0.500 0.500 0.500
3 Ta 0.750 0.750 0.750

Entry 4:
AcHfTe | PBE | relaxed

Results
Its energy is -5.6397 eV per atom. The value obtained for the total magnetic moment is 0.802 μB/f.u.

abc: 5.227 5.227 5.227
angles: 60.00 60.00 60.00
Element x y z (fractional)
1 Ac 0.000 0.000 0.000
2 Hf 0.500 0.500 0.500
3 Te 0.250 0.250 0.250

Entry 5:
AcHfTe | PBE | relaxed

Results
Its energy is -5.0769 eV per atom. The value obtained for the total magnetic moment is 2.886 μB/f.u.

abc: 5.542 5.542 5.542
angles: 60.00 60.00 60.00
Element x y z (fractional)
1 Ac 0.000 0.000 0.000
2 Hf 0.750 0.750 0.750
3 Te 0.250 0.250 0.250

Entry 6:
AcHfTh | PBE | relaxed

Results
Its energy is -6.4152 eV per atom. The value obtained for the total magnetic moment is 0.308 μB/f.u. The calculation puts the energy of formation from the pure elements at 2.23 eV/f.u.

abc: 5.340 5.340 5.340
angles: 60.00 60.00 60.00
Element x y z (fractional)
1 Ac 0.000 0.000 0.000
2 Hf 0.250 0.250 0.250
3 Th 0.500 0.500 0.500

Entry 7:
AcTmHf | PBE | relaxed

Results
Its energy is -4.9927 eV per atom. The value obtained for the total magnetic moment is 0.001 μB/f.u. The calculation puts the energy of formation from the pure elements at 3.56 eV/f.u.

abc: 5.380 5.380 5.380
angles: 60.00 60.00 60.00
Element x y z (fractional)
1 Ac 0.000 0.000 0.000
2 Tm 0.250 0.250 0.250
3 Hf 0.750 0.750 0.750

Entry 8:
AcTmHf | PBE | relaxed

Results
Its energy is -5.3328 eV per atom. The value obtained for the total magnetic moment is 1.897 μB/f.u. The calculation puts the energy of formation from the pure elements at 2.54 eV/f.u.

abc: 5.356 5.356 5.356
angles: 60.00 60.00 60.00
Element x y z (fractional)
1 Ac 0.000 0.000 0.000
2 Tm 0.500 0.500 0.500
3 Hf 0.250 0.250 0.250

- Look up the energy of the fourth one.
  -5.6397 eV per atom

- Which value of energy does entry 3 give?
  -7.6882 eV per atom

- Look up the energy of the fifth one.
  -5.0769 eV per atom

- What is the formula in the fourth record?
  AcHfTe